(1)
Below is a relaxed Ce3Y2TmTe6 crystal, with properties calculated at the PBE level.

Output
calculated total energy: -5.8347 eV/atom
SG: No. 12

abc: 4.3677 8.9413 9.9343
angles: 104.43 102.70 90.00
Closest atoms and distances in Å follow each position.
Atoms (fractional coordinates):
Y: 0.8328 0.6660 0.6656  6 Te 3.07-3.10
Y: 0.1672 0.3340 0.3344  6 Te 3.07-3.10
Tm: 0.5000 0.0000 0.0000  6 Te 3.04-3.06
Ce: 0.5000 0.5000 0.0000  6 Te 3.17-3.20
Ce: 0.8320 0.1662 0.6639  6 Te 3.17-3.19
Ce: 0.1680 0.8338 0.3361  6 Te 3.17-3.19
Te: 0.6623 0.0881 0.3246  1 Tm 3.04, 2 Y 3.08, 3 Ce 3.18
Te: 0.6688 0.5773 0.3376  3 Y 3.07-3.08, 3 Ce 3.17
Te: 0.0019 0.2400 0.0038  2 Tm 3.06, 1 Y 3.10, 3 Ce 3.19-3.20
Te: 0.3312 0.4227 0.6624  3 Y 3.07-3.08, 3 Ce 3.17
Te: 0.9981 0.7600 0.9962  2 Tm 3.06, 1 Y 3.10, 3 Ce 3.19-3.20
Te: 0.3377 0.9119 0.6754  1 Tm 3.04, 2 Y 3.08, 3 Ce 3.18

=====

(2)
Below is a relaxed ScPd2Rh2 crystal, with properties calculated at the PBE level.

Output
E above lowest polymorph: 0.000 eV/atom
calculated total energy: -6.5485 eV/atom
SG: No. 127

abc: 6.7053 6.7053 3.6848
angles: 90.00 90.00 90.00
Closest atoms and distances in Å follow each position.
Atoms (fractional coordinates):
Pd: 0.6627 0.8373 0.5000  6 Rh 2.65-2.73
Pd: 0.3373 0.1627 0.5000  6 Rh 2.65-2.73
Pd: 0.1627 0.6627 0.5000  6 Rh 2.65-2.73
Pd: 0.8373 0.3373 0.5000  6 Rh 2.65-2.73
Rh: 0.6360 0.1360 0.0000  1 Rh 2.58, 2 Sc 2.61, 6 Pd 2.65-2.73
Rh: 0.1360 0.3640 0.0000  1 Rh 2.58, 2 Sc 2.61, 6 Pd 2.65-2.73
Rh: 0.8640 0.6360 0.0000  1 Rh 2.58, 2 Sc 2.61, 6 Pd 2.65-2.73
Rh: 0.3640 0.8640 0.0000  1 Rh 2.58, 2 Sc 2.61, 6 Pd 2.65-2.73
Sc: 0.0000 0.0000 0.0000  4 Rh 2.61
Sc: 0.5000 0.5000 0.0000  4 Rh 2.61